An optimized crystal structure of La2BeRe. Source: the Alexandria database, functional GGA-PBEsol.

## Properties
Crystal system ... orthorhombic
Fermi-level density of states ... 7.68 states/eV/cell
VASP energy ... -6.8028 eV/atom
Symmetry ... Amm2 (38)

Cell lengths 4.0232, 4.2249, 10.9360 Å; angles 90.00, 90.00, 90.00 degrees
Fractional coordinates of all 8 atoms:
La 0.0000 0.0000 0.0000
La 0.0000 0.5000 0.5000
La 0.5000 0.0000 0.2785
La 0.5000 0.5000 0.7785
Be 0.5000 0.0000 0.5893
Be 0.5000 0.5000 0.0893
Re 0.0000 0.0000 0.6944
Re 0.0000 0.5000 0.1944

---

An optimized crystal structure of La2BeRe. Source: the Alexandria database, functional GGA-PBEsol.

## Properties
Crystal system ... monoclinic
Fermi-level density of states ... 3.99 states/eV/cell
VASP energy ... -6.5436 eV/atom
Symmetry ... P2/m (10)

Cell lengths 3.5331, 3.5332, 7.1688 Å; angles 90.00, 90.11, 90.00 degrees
Fractional coordinates of all 4 atoms:
La 0.0009 0.0000 0.2586
La 0.9991 0.0000 0.7414
Be 0.5000 0.5000 0.0000
Re 0.5000 0.5000 0.5000

---

Number 1: E_form 0.2034 eV per atom. Number 2: E_form 0.4626 eV per atom.